Record 1
Nd4Er6Sc after structural relaxation. Source: the Alexandria database, functional GGA-PBE.

Values from the calculation:
- Calculated formation energy: 0.29 eV/atom
- Spin magnetization: 0.0000 μB/atom

a = 6.585 Å, b = 6.585 Å, c = 16.897 Å
α = 90.00°, β = 90.00°, γ = 90.00°
Space group I-42m (No. 121)
Inequivalent atoms, fractional coordinates:
Nd 0.188 0.188 0.174 (multiplicity 8)
Er 0.000 0.500 0.000 (multiplicity 4)
Er 0.178 0.178 0.375 (multiplicity 8)
Sc 0.000 0.000 0.000 (multiplicity 2)

---

Record 2
YGaBiO2 after structural relaxation. Source: the Alexandria database, functional GGA-PBE.

Values from the calculation:
- Spin magnetization: 0.0000 μB/atom
- E_form (uncorrected): -305 meV per atom

a = 4.128 Å, b = 4.128 Å, c = 5.909 Å
α = 90.00°, β = 90.00°, γ = 90.00°
Space group P4/mmm (No. 123)
Inequivalent atoms, fractional coordinates:
Y 0.000 0.000 0.000 (multiplicity 1)
Ga 0.000 0.000 0.500 (multiplicity 1)
Bi 0.500 0.500 0.000 (multiplicity 1)
O 0.000 0.500 0.500 (multiplicity 2)